Entry from Alexandria: a relaxed structure of SbPWS2 (GGA-PBEsol).

a b c (Å): 4.804 4.804 4.914
angles (deg): 90.00 90.00 90.00
Site moments in Bohr magnetons follow the coordinates.
Atoms (fractional coordinates):
Sb 0.000 0.000 0.000  -0.01
S 0.000 0.500 0.000  -0.13
S 0.500 0.000 0.000  -0.13
W 0.500 0.500 0.500  2.78
P 0.000 0.000 0.500  -0.22

Values from the calculation:
ΔE_f (raw) in eV per formula unit: 8.178
M_tot in Bohr magnetons per cell: 2.85
Raw total energy in eV/atom: -4.9494